# 1
The following is a DFT calculation (PBE) of an optimized crystal structure of KCa2P.

Summary:
The calculated formation energy comes out at -1.8 eV per formula unit. The calculated total energy is -3.072 eV per atom. The value obtained for the total magnetic moment is 0.00 μB per cell.

Cell: 7.3733 7.3733 7.3312 Å, 52.56 52.56 31.41°
Fractional coordinates of all 4 atoms:
Ca1 0.8982 0.8982 0.1262
Ca2 0.7380 0.7380 0.8542
K1 0.5656 0.5656 0.4902
P1 0.2981 0.2981 0.0295

=====

# 2
The following is a DFT calculation (PBE) of an optimized crystal structure of LaPrTe.

Summary:
The calculated total energy is -5.131 eV per atom. The value obtained for the total magnetic moment is 1.50 μB per cell. The energy above the most stable polymorph in this dataset is 0.000 eV per atom. The value obtained for the uncorrected formation energy is -0.848 eV per atom.

Cell: 7.1899 4.2207 4.2207 Å, 120.00 90.00 90.00°
Fractional coordinates of all 3 atoms:
Pr1 0.0431 0.0000 0.0000
Te1 0.3315 0.3333 0.6667
La1 0.6254 0.6667 0.3333